1.
A relaxed TaAg2Bi crystal. Source: OQMD, functional PBE-GGA.

The structure in extended XYZ format:
```
4
Lattice="-2.127 -3.611 2.448 -4.490 0.572 1.753 -3.707 -2.424 -1.985" Properties=species:S:1:pos:R:3 pbc="T T T"
Ag 0.000 0.000 0.000
Ag -7.743 -4.097 1.662
Bi -5.162 -2.732 1.108
Ta -2.581 -1.366 0.554
```

* theoretical density: 12.4 Mg/m³
* space group: F-43m
* total magnetization: 0.6 Bohr magnetons per cell
* energy: -4.7916 eV per atom

***

2.
A relaxed Pr2Al2Pd3Pt crystal. Source: OQMD, functional PBE-GGA.

The structure in extended XYZ format:
```
8
Lattice="4.410 0.000 0.000 -2.205 3.819 0.000 0.000 0.000 9.681" Properties=species:S:1:pos:R:3 pbc="T T T"
Al 0.000 2.546 4.834
Al 0.000 2.546 9.618
Pd 2.205 1.273 0.737
Pd 2.205 1.273 4.155
Pd 0.000 0.000 5.498
Pr 0.000 0.000 2.415
Pr 2.205 1.273 7.288
Pt 0.000 0.000 9.018
```

* theoretical density: 8.7 Mg/m³
* space group: P3m1
* total magnetization: 0.0 Bohr magnetons per cell
* energy: -5.7636 eV per atom

***

3.
A relaxed CsBaHg crystal. Source: OQMD, functional PBE-GGA.

The structure in extended XYZ format:
```
3
Lattice="3.462 -4.441 1.645 -2.148 -5.454 0.258 1.696 -4.010 -3.933" Properties=species:S:1:pos:R:3 pbc="T T T"
Ba 0.753 -3.476 -0.507
Cs 0.000 0.000 0.000
Hg 2.258 -10.429 -1.522
```

* theoretical density: 5.5 Mg/m³
* space group: F-43m
* energy: -0.7849 eV per atom
* energy above the most stable polymorph in this dataset: 0.97 eV/f.u.

***

4.
A relaxed YCoSbMo crystal. Source: OQMD, functional PBE-GGA.

The structure in extended XYZ format:
```
4
Lattice="-1.919 1.063 4.125 -3.616 -2.485 1.604 0.568 -2.863 3.648" Properties=species:S:1:pos:R:3 pbc="T T T"
Co -3.725 -3.214 7.032
Mo -1.242 -1.071 2.344
Sb 0.000 0.000 0.000
Y -2.483 -2.143 4.688
```

* theoretical density: 8.4 Mg/m³
* space group: F-43m
* total magnetization: 1.0 Bohr magnetons per cell
* energy: -6.9880 eV per atom
* energy above the most stable polymorph in this dataset: 0.00 eV/f.u.

***

5.
A relaxed ErAgS2 crystal. Source: OQMD, functional PBE-GGA.

The structure in extended XYZ format:
```
16
Lattice="-2.365 0.834 3.181 -1.849 -6.305 0.278 10.015 -2.579 8.123" Properties=species:S:1:pos:R:3 pbc="T T T"
Ag -0.348 -1.195 2.640
Ag 1.304 -5.012 4.855
Ag 2.397 -5.776 8.446
Ag 8.250 -4.117 7.220
Er -0.652 -4.581 2.110
Er 1.597 -1.666 5.387
Er 5.225 -3.266 5.926
Er 5.434 -6.588 9.739
S -2.495 -2.708 2.806
S -1.234 -5.689 4.539
S 1.431 -3.106 3.070
S 4.141 -1.146 4.586
S 2.661 -3.779 6.754
S 5.384 -1.824 8.252
S 6.021 -5.483 7.300
S 7.296 -8.468 9.016
```

* theoretical density: 6.4 Mg/m³
* space group: P2_12_12_1
* total magnetization: 0.0 Bohr magnetons per cell
* energy: -5.2387 eV per atom

***

6.
A relaxed HgAuSO crystal. Source: OQMD, functional PBE-GGA.

The structure in extended XYZ format:
```
16
Lattice="-1.990 -5.911 3.317 4.578 -4.668 -5.573 4.094 0.346 3.073" Properties=species:S:1:pos:R:3 pbc="T T T"
Au -0.006 -7.338 1.377
Au 2.272 -5.692 -1.844
Au 2.881 -4.670 1.513
Au 5.159 -3.024 -1.708
Hg -0.029 -2.646 0.844
Hg 2.622 -9.319 -1.935
Hg 2.498 -1.046 1.580
Hg 5.149 -7.719 -1.200
O 0.749 -0.733 -0.367
O 3.229 -7.231 -2.937
O 1.931 -3.130 2.612
O 4.410 -9.628 0.041
S 0.901 -4.846 -0.112
S 3.079 -3.096 -3.210
S 2.075 -7.266 2.880
S 4.253 -5.516 -0.218
```

* theoretical density: 9.5 Mg/m³
* space group: Pca2_1
* energy: -3.1274 eV per atom
* energy above the most stable polymorph in this dataset: 0.12 eV/f.u.